Entry 1:
NiSbRh2 | PBEsol | relaxed

Cell: 3.2931 3.2931 5.4096 Å, 90.00 90.00 90.00°
Last column: nearest neighbours and their distance in Å.
Positions (direct):
Rh  0.5000  0.5000  0.2548  2 Ni 2.59-2.82, 4 Sb 2.67, 4 Rh 2.79
Rh  0.0000  0.0000  0.9707  4 Ni 2.55, 2 Sb 2.56-2.85, 4 Rh 2.79
Sb  0.0000  0.0000  0.4979  6 Rh 2.56-2.85, 4 Ni 2.77
Ni  0.5000  0.5000  0.7766  6 Rh 2.55-2.82, 4 Sb 2.77

Results
- V (Å³ per cell) = 58.66
- symmetry = P4mm, No. 99
- density of states at the Fermi level (states/eV/atom) = 1.25
- electronic total energy (eV for the cell shown) = -26.9
- formation energy without anion corrections (meV per atom) = 16


Entry 2:
NiSbRh2 | PBEsol | relaxed

Cell: 3.0179 4.4026 4.8052 Å, 107.52 108.30 90.00°
Last column: nearest neighbours and their distance in Å.
Positions (direct):
Sb  0.5125  0.4733  0.0250  2 Ni 2.60, 7 Rh 2.64-2.71
Rh  0.7620  0.2895  0.5241  4 Ni 2.62-2.73, 3 Sb 2.64-2.65, 3 Rh 2.88-2.93
Rh  0.9834  0.9460  0.9669  3 Ni 2.58-2.66, 4 Sb 2.65-2.71, 1 Rh 2.88
Ni  0.2420  0.7912  0.4841  7 Rh 2.58-2.73, 2 Sb 2.60

Results
- V (Å³ per cell) = 57.49
- symmetry = Cm, No. 8
- density of states at the Fermi level (states/eV/atom) = 1.27
- electronic total energy (eV for the cell shown) = -27.3
- formation energy without anion corrections (meV per atom) = -86


Entry 3:
NiSbRh2 | PBEsol | relaxed

Cell: 3.7073 3.9090 3.9090 Å, 90.00 90.00 90.00°
Last column: nearest neighbours and their distance in Å.
Positions (direct):
Sb  0.5000  0.5000  0.5000  8 Rh 2.69, 4 Ni 2.76
Ni  0.5000  0.0000  0.0000  8 Rh 2.69, 4 Sb 2.76
Rh  0.0000  0.0000  0.5000  4 Sb 2.69, 4 Ni 2.69, 4 Rh 2.76
Rh  0.0000  0.5000  0.0000  4 Sb 2.69, 4 Ni 2.69, 4 Rh 2.76

Results
- V (Å³ per cell) = 56.65
- symmetry = P4/mmm, No. 123
- density of states at the Fermi level (states/eV/atom) = 0.88
- electronic total energy (eV for the cell shown) = -28.0
- formation energy without anion corrections (meV per atom) = -240


Entry 4:
NiSbRh2 | PBEsol | relaxed

Cell: 3.9947 4.5293 3.9947 Å, 63.83 90.00 116.17°
Last column: nearest neighbours and their distance in Å.
Positions (direct):
Ni  0.5000  0.0000  0.5000  8 Rh 2.67, 4 Sb 2.82
Sb  0.0000  0.0000  0.0000  8 Rh 2.67, 4 Ni 2.82
Rh  0.2500  0.5000  0.2500  4 Sb 2.67, 4 Ni 2.67, 4 Rh 2.82
Rh  0.7500  0.5000  0.7500  4 Sb 2.67, 4 Ni 2.67, 4 Rh 2.82

Results
- V (Å³ per cell) = 56.50
- symmetry = I4/mmm, No. 139
- density of states at the Fermi level (states/eV/atom) = 1.35
- electronic total energy (eV for the cell shown) = -28.0
- formation energy without anion corrections (meV per atom) = -259


Entry 5:
NiSbRh2 | PBEsol | relaxed

Cell: 2.9298 2.9298 8.2145 Å, 79.73 79.73 60.00°
Last column: nearest neighbours and their distance in Å.
Positions (direct):
Ni  0.2495  0.2495  0.2514  3 Sb 2.56, 3 Rh 2.58
Rh  0.7504  0.7504  0.7487  3 Sb 2.68, 9 Rh 2.69-2.93
Rh  0.9968  0.9968  0.0097  3 Ni 2.58, 3 Rh 2.69
Sb  0.5033  0.5033  0.4902  3 Ni 2.56, 3 Rh 2.68

Results
- V (Å³ per cell) = 59.76
- symmetry = R3m, No. 160
- density of states at the Fermi level (states/eV/atom) = 1.47
- electronic total energy (eV for the cell shown) = -25.9
- formation energy without anion corrections (meV per atom) = 275


Entry 6:
NiSbTe2Rh | PBEsol | relaxed

Cell: 4.8833 5.1753 5.1753 Å, 90.00 90.00 90.00°
Last column: nearest neighbours and their distance in Å.
Positions (direct):
Sb  0.5000  0.0000  0.0000  2 Rh 2.44
Te  0.0000  0.0000  0.5000  2 Rh 2.59
Te  0.0000  0.5000  0.0000  2 Rh 2.59
Ni  0.5000  0.5000  0.5000  8 Te 3.56, 4 Sb 3.66
Rh  0.0000  0.0000  0.0000  2 Sb 2.44, 4 Te 2.59

Results
- V (Å³ per cell) = 130.79
- symmetry = P4/mmm, No. 123
- density of states at the Fermi level (states/eV/atom) = 1.21
- electronic total energy (eV for the cell shown) = -21.8
- formation energy without anion corrections (meV per atom) = 815


Entry 7:
TiNiSb2Rh | PBEsol | relaxed

Cell: 4.1998 5.0489 5.0489 Å, 90.00 90.00 90.00°
Last column: nearest neighbours and their distance in Å.
Positions (direct):
Ti  0.0000  0.0000  0.0000  2 Ni 2.10
Sb  0.0000  0.0000  0.5000  2 Ti 2.52
Sb  0.0000  0.5000  0.0000  2 Ti 2.52
Ni  0.5000  0.0000  0.0000  2 Ti 2.10
Rh  0.5000  0.5000  0.5000  8 Sb 3.28, 4 Ni 3.57

Results
- V (Å³ per cell) = 107.06
- symmetry = P4/mmm, No. 123
- density of states at the Fermi level (states/eV/atom) = 0.91
- electronic total energy (eV for the cell shown) = -27.2
- formation energy without anion corrections (meV per atom) = 913


Entry 8:
ScNi2Rh | PBEsol | relaxed

Cell: 2.7751 2.7751 8.2841 Å, 80.36 80.36 60.00°
Last column: nearest neighbours and their distance in Å.
Positions (direct):
Ni  0.7470  0.7470  0.7591  3 Ni 2.46, 3 Rh 2.58
Ni  0.0039  0.0039  0.9882  3 Ni 2.46, 3 Sc 2.61
Rh  0.4966  0.4966  0.5103  3 Ni 2.58, 3 Sc 2.70, 6 Rh 2.78
Sc  0.2525  0.2525  0.2424  3 Ni 2.61, 3 Rh 2.70, 6 Sc 2.78

Results
- V (Å³ per cell) = 54.21
- symmetry = R3m, No. 160
- density of states at the Fermi level (states/eV/atom) = 1.45
- electronic total energy (eV for the cell shown) = -26.7


> What is the formula in the fourth record?

NiSbRh2